An optimized crystal structure of Ac2Ag2BPt4. Source: Alexandria via LeMat-Bulk, functional GGA-PBE.

CIF file:
```
data_Ac2Ag2BPt4
_cell_length_a 6.731
_cell_length_b 6.731
_cell_length_c 8.228
_cell_angle_alpha 90.00
_cell_angle_beta 90.00
_cell_angle_gamma 90.00
_space_group_name_H-M_alt 'I 4/m m m'
_space_group_IT_number 139
_space_group_name_Hall '-I 4 2'
loop_
_atom_site_label
_atom_site_fract_x
_atom_site_fract_y
_atom_site_fract_z
_atom_site_occupancy
Ac1 0.000 0.500 0.250 1
Ag1 0.000 0.000 0.171 1
B1 0.000 0.000 0.500 1
Pt1 0.222 0.222 0.500 1
```

Results
The total energy comes out at -5.59 eV/atom.

An optimized crystal structure of AcAg2BS4. Source: Alexandria via LeMat-Bulk, functional GGA-PBE.

CIF file:
```
data_AcAg2BS4
_cell_length_a 6.607
_cell_length_b 6.632
_cell_length_c 7.445
_cell_angle_alpha 90.00
_cell_angle_beta 90.00
_cell_angle_gamma 90.00
_space_group_name_H-M_alt 'I 2 2 2'
_space_group_IT_number 23
loop_
_space_group_symop_operation_xyz
'x,y,z'
'-x,-y,z'
'x,-y,-z'
'-x,y,-z'
'x+1/2,y+1/2,z+1/2'
'-x+1/2,-y+1/2,z+1/2'
'x+1/2,-y+1/2,-z+1/2'
'-x+1/2,y+1/2,-z+1/2'
loop_
_atom_site_label
_atom_site_fract_x
_atom_site_fract_y
_atom_site_fract_z
_atom_site_occupancy
Ac1 0.000 0.000 0.000 1
Ag1 0.000 0.500 0.274 1
B1 0.000 0.000 0.500 1
S1 0.174 0.171 0.356 1
```

Results
The total energy comes out at -4.97 eV/atom. The value obtained for the uncorrected formation energy is -0.849 eV per atom.

An optimized crystal structure of BaAc5Ag4. Source: Alexandria via LeMat-Bulk, functional GGA-PBE.

CIF file:
```
data_BaAc5Ag4
_cell_length_a 3.973
_cell_length_b 3.973
_cell_length_c 22.257
_cell_angle_alpha 90.00
_cell_angle_beta 90.00
_cell_angle_gamma 90.00
_space_group_name_H-M_alt 'P 4/m m m'
_space_group_IT_number 123
_space_group_name_Hall '-P 4 2'
loop_
_atom_site_label
_atom_site_fract_x
_atom_site_fract_y
_atom_site_fract_z
_atom_site_occupancy
Ba1 0.000 0.000 0.000 1
Ac1 0.500 0.500 0.146 1
Ac2 0.500 0.500 0.321 1
Ac3 0.500 0.500 0.500 1
Ag1 0.000 0.000 0.231 1
Ag2 0.000 0.000 0.410 1
```

Results
The total energy comes out at -3.57 eV/atom.

An optimized crystal structure of BaAc2Ag6. Source: Alexandria via LeMat-Bulk, functional GGA-PBE.

CIF file:
```
data_BaAc2Ag6
_cell_length_a 8.4349
_cell_length_b 8.4349
_cell_length_c 4.1539
_cell_angle_alpha 90.00
_cell_angle_beta 90.00
_cell_angle_gamma 120.00
_space_group_name_H-M_alt 'P 6/m m m'
_space_group_IT_number 191
_space_group_name_Hall '-P 6 2'
loop_
_atom_site_label
_atom_site_fract_x
_atom_site_fract_y
_atom_site_fract_z
_atom_site_occupancy
Ba1 0.0000 0.0000 0.0000 1
Ac1 0.3333 0.6667 0.0000 1
Ag1 0.0000 0.3359 0.5000 1
```

Results
The total energy comes out at -3.31 eV/atom.

An optimized crystal structure of BaAcAg2. Source: Alexandria via LeMat-Bulk, functional GGA-PBE.

CIF file:
```
data_BaAcAg2
_cell_length_a 4.035
_cell_length_b 4.035
_cell_length_c 8.120
_cell_angle_alpha 90.00
_cell_angle_beta 90.00
_cell_angle_gamma 90.00
_space_group_name_H-M_alt 'P 4/m m m'
_space_group_IT_number 123
_space_group_name_Hall '-P 4 2'
loop_
_atom_site_label
_atom_site_fract_x
_atom_site_fract_y
_atom_site_fract_z
_atom_site_occupancy
Ba1 0.000 0.000 0.000 1
Ac1 0.000 0.000 0.500 1
Ag1 0.500 0.500 0.281 1
```

Results
Its energy above the lowest structure with this stoichiometry is 0.0 kJ per mole of atoms. The total energy comes out at -3.18 eV/atom.

An optimized crystal structure of BaAcAg2. Source: Alexandria via LeMat-Bulk, functional GGA-PBE.

CIF file:
```
data_BaAcAg2
_cell_length_a 8.064
_cell_length_b 8.064
_cell_length_c 8.064
_cell_angle_alpha 90.00
_cell_angle_beta 90.00
_cell_angle_gamma 90.00
_space_group_name_H-M_alt 'F m -3 m'
_space_group_IT_number 225
_space_group_name_Hall '-F 4 2 3'
loop_
_atom_site_label
_atom_site_fract_x
_atom_site_fract_y
_atom_site_fract_z
_atom_site_occupancy
Ba1 0.000 0.000 0.000 1
Ac1 0.000 0.000 0.500 1
Ag1 0.250 0.250 0.250 1
```

Results
Its energy above the lowest structure with this stoichiometry is 4.8 kJ per mole of atoms. The total energy comes out at -3.13 eV/atom.